# 1
The following is a GGA-PBE calculation of a relaxed structure of Li4SmAl, from Alexandria via LeMat-Bulk.

Results
energy relative to the elements: -0.3 eV/f.u.

a = 5.461 Å, b = 5.461 Å, c = 5.461 Å
α = 60.00°, β = 60.00°, γ = 60.00°
Positions (direct):
Li (0.377, 0.377, 0.377)
Li (0.377, 0.377, 0.869)
Li (0.377, 0.869, 0.377)
Li (0.869, 0.377, 0.377)
Sm (0.000, 0.000, 0.000)
Al (0.750, 0.750, 0.750)

# 2
The following is a GGA-PBE calculation of a relaxed structure of SrLiSmAl, from Alexandria via LeMat-Bulk.

Results
energy relative to the elements: -0.3 eV/f.u.

a = 5.463 Å, b = 5.463 Å, c = 5.463 Å
α = 60.00°, β = 60.00°, γ = 60.00°
Positions (direct):
Sr (0.000, 0.000, 0.000)
Li (0.750, 0.750, 0.750)
Sm (0.500, 0.500, 0.500)
Al (0.250, 0.250, 0.250)

# 3
The following is a GGA-PBE calculation of a relaxed structure of LiSmAlTc, from Alexandria via LeMat-Bulk.

Results
energy relative to the elements: 0.0 eV/f.u.

a = 4.684 Å, b = 4.684 Å, c = 4.684 Å
α = 60.00°, β = 60.00°, γ = 60.00°
Positions (direct):
Li (0.000, 0.000, 0.000)
Sm (0.250, 0.250, 0.250)
Al (0.750, 0.750, 0.750)
Tc (0.500, 0.500, 0.500)

# 4
The following is a GGA-PBE calculation of a relaxed structure of Li2SmAlTe4, from Alexandria via LeMat-Bulk.

Results
formation energy without anion corrections: -0.900 eV per atom

a = 8.547 Å, b = 8.547 Å, c = 8.547 Å
α = 121.82°, β = 118.15°, γ = 90.05°
Positions (direct):
Li (0.000, 0.000, 0.000)
Li (0.500, 0.000, 0.000)
Li (0.500, 0.000, 0.500)
Li (0.500, 0.500, 0.500)
Sm (0.000, 0.500, 0.500)
Sm (0.500, 0.500, 0.000)
Al (0.000, 0.000, 0.500)
Al (0.000, 0.500, 0.000)
Te (0.212, 0.242, 0.970)
Te (0.229, 0.758, 0.470)
Te (0.250, 0.238, 0.487)
Te (0.250, 0.763, 0.013)
Te (0.750, 0.237, 0.987)
Te (0.750, 0.762, 0.513)
Te (0.771, 0.242, 0.530)
Te (0.788, 0.758, 0.030)

# 5
The following is a GGA-PBE calculation of a relaxed structure of Li3Sm3AlTe8, from Alexandria via LeMat-Bulk.

Results
formation energy without anion corrections: -1.036 eV per atom

a = 8.610 Å, b = 8.610 Å, c = 8.610 Å
α = 60.87°, β = 60.87°, γ = 60.87°
Positions (direct):
Li (0.000, 0.500, 0.500)
Li (0.500, 0.000, 0.500)
Li (0.500, 0.500, 0.000)
Sm (0.000, 0.000, 0.500)
Sm (0.000, 0.500, 0.000)
Sm (0.500, 0.000, 0.000)
Al (0.500, 0.500, 0.500)
Te (0.255, 0.255, 0.255)
Te (0.265, 0.265, 0.724)
Te (0.265, 0.724, 0.265)
Te (0.276, 0.735, 0.735)
Te (0.724, 0.265, 0.265)
Te (0.735, 0.276, 0.735)
Te (0.735, 0.735, 0.276)
Te (0.745, 0.745, 0.745)

# 6
The following is a GGA-PBE calculation of a relaxed structure of LiSmTiAl, from Alexandria via LeMat-Bulk.

Results
energy relative to the elements: 0.0 eV/f.u.

a = 4.884 Å, b = 4.884 Å, c = 4.884 Å
α = 60.00°, β = 60.00°, γ = 60.00°
Positions (direct):
Li (0.000, 0.000, 0.000)
Sm (0.750, 0.750, 0.750)
Ti (0.250, 0.250, 0.250)
Al (0.500, 0.500, 0.500)

# 7
The following is a GGA-PBE calculation of a relaxed structure of LiSmAlTl, from Alexandria via LeMat-Bulk.

Results
energy relative to the elements: -1.0 eV/f.u.

a = 5.108 Å, b = 5.108 Å, c = 5.108 Å
α = 60.00°, β = 60.00°, γ = 60.00°
Positions (direct):
Li (0.000, 0.000, 0.000)
Sm (0.500, 0.500, 0.500)
Al (0.250, 0.250, 0.250)
Tl (0.750, 0.750, 0.750)

# 8
The following is a GGA-PBE calculation of a relaxed structure of LiSm2Al4Zn3, from Alexandria via LeMat-Bulk.

Results
energy relative to the elements: -3.6 eV/f.u.

a = 4.246 Å, b = 4.246 Å, c = 10.721 Å
α = 90.00°, β = 90.00°, γ = 90.00°
Positions (direct):
Li (0.000, 0.000, 0.000)
Sm (0.000, 0.500, 0.747)
Sm (0.500, 0.000, 0.253)
Al (0.000, 0.000, 0.500)
Al (0.000, 0.500, 0.132)
Al (0.500, 0.000, 0.868)
Al (0.500, 0.500, 0.500)
Zn (0.000, 0.500, 0.362)
Zn (0.500, 0.000, 0.638)
Zn (0.500, 0.500, 0.000)

# 9
The following is a GGA-PBE calculation of a relaxed structure of LiSm2Al3Zn4, from Alexandria via LeMat-Bulk.

Results
energy relative to the elements: -3.4 eV/f.u.

a = 4.310 Å, b = 4.310 Å, c = 10.407 Å
α = 90.00°, β = 90.00°, γ = 90.00°
Positions (direct):
Li (0.000, 0.000, 0.000)
Sm (0.000, 0.500, 0.744)
Sm (0.500, 0.000, 0.256)
Al (0.000, 0.500, 0.364)
Al (0.500, 0.000, 0.636)
Al (0.500, 0.500, 0.000)
Zn (0.000, 0.000, 0.500)
Zn (0.000, 0.500, 0.128)
Zn (0.500, 0.000, 0.872)
Zn (0.500, 0.500, 0.500)

# 10
The following is a GGA-PBE calculation of a relaxed structure of LiSmAlZn, from Alexandria via LeMat-Bulk.

Results
energy relative to the elements: -1.2 eV/f.u.

a = 4.754 Å, b = 4.754 Å, c = 4.754 Å
α = 60.00°, β = 60.00°, γ = 60.00°
Positions (direct):
Li (0.000, 0.000, 0.000)
Sm (0.250, 0.250, 0.250)
Al (0.750, 0.750, 0.750)
Zn (0.500, 0.500, 0.500)

# 11
The following is a GGA-PBE calculation of a relaxed structure of LiSm4AlZn2, from Alexandria via LeMat-Bulk.

Results
energy relative to the elements: -1.9 eV/f.u.

a = 9.030 Å, b = 9.030 Å, c = 9.030 Å
α = 33.39°, β = 33.39°, γ = 33.39°
Positions (direct):
Li (0.000, 0.000, 0.000)
Sm (0.126, 0.126, 0.126)
Sm (0.377, 0.377, 0.377)
Sm (0.623, 0.623, 0.623)
Sm (0.874, 0.874, 0.874)
Al (0.500, 0.500, 0.500)
Zn (0.253, 0.253, 0.253)
Zn (0.747, 0.747, 0.747)

# 12
The following is a GGA-PBE calculation of a relaxed structure of LiSmZrAl, from Alexandria via LeMat-Bulk.

Results
energy relative to the elements: -0.4 eV/f.u.

a = 4.998 Å, b = 4.998 Å, c = 4.998 Å
α = 60.00°, β = 60.00°, γ = 60.00°
Positions (direct):
Li (0.000, 0.000, 0.000)
Sm (0.250, 0.250, 0.250)
Zr (0.750, 0.750, 0.750)
Al (0.500, 0.500, 0.500)

# 13
The following is a GGA-PBE calculation of a relaxed structure of LiAlSn, from Alexandria via LeMat-Bulk.

Results
energy relative to the elements: -0.3 eV/f.u.

a = 5.742 Å, b = 5.742 Å, c = 5.742 Å
α = 117.21°, β = 85.00°, γ = 129.04°
Positions (direct):
Li (0.000, 0.000, 0.000)
Li (0.000, 0.500, 0.500)
Al (0.272, 0.208, 0.564)
Al (0.644, 0.708, 0.436)
Sn (0.355, 0.753, 0.102)
Sn (0.651, 0.253, 0.898)

# 14
The following is a GGA-PBE calculation of a relaxed structure of Li8AlSn6, from Alexandria via LeMat-Bulk.

Results
energy relative to the elements: -2.7 eV/f.u.

a = 7.318 Å, b = 7.318 Å, c = 7.318 Å
α = 65.43°, β = 65.43°, γ = 65.43°
Positions (direct):
Li (0.121, 0.415, 0.629)
Li (0.233, 0.233, 0.233)
Li (0.371, 0.879, 0.585)
Li (0.415, 0.629, 0.121)
Li (0.585, 0.371, 0.879)
Li (0.629, 0.121, 0.415)
Li (0.767, 0.767, 0.767)
Li (0.879, 0.585, 0.371)
Al (0.500, 0.500, 0.500)
Sn (0.085, 0.861, 0.364)
Sn (0.139, 0.636, 0.915)
Sn (0.364, 0.085, 0.861)
Sn (0.636, 0.915, 0.139)
Sn (0.861, 0.364, 0.085)
Sn (0.915, 0.139, 0.636)

# 15
The following is a GGA-PBE calculation of a relaxed structure of LiAlSn, from Alexandria via LeMat-Bulk.

Results
energy relative to the elements: -0.3 eV/f.u.

a = 7.240 Å, b = 7.240 Å, c = 7.240 Å
α = 155.20°, β = 131.61°, γ = 55.12°
Positions (direct):
Li (0.248, 0.000, 0.248)
Li (0.752, 0.000, 0.752)
Al (0.145, 0.645, 0.500)
Al (0.855, 0.355, 0.500)
Sn (0.339, 0.339, 0.000)
Sn (0.661, 0.661, 0.000)

# 16
The following is a GGA-PBE calculation of a relaxed structure of Li3AlSn2, from Alexandria via LeMat-Bulk.

Results
energy relative to the elements: -1.3 eV/f.u.

a = 8.303 Å, b = 8.303 Å, c = 8.303 Å
α = 138.70°, β = 59.72°, γ = 138.86°
Positions (direct):
Li (0.166, 0.741, 0.908)
Li (0.250, 0.250, 0.000)
Li (0.334, 0.241, 0.575)
Li (0.666, 0.759, 0.425)
Li (0.750, 0.750, 0.000)
Li (0.834, 0.259, 0.092)
Al (0.250, 0.750, 0.500)
Al (0.750, 0.250, 0.500)
Sn (0.135, 0.239, 0.374)
Sn (0.365, 0.739, 0.105)
Sn (0.635, 0.261, 0.895)
Sn (0.865, 0.761, 0.626)

# 17
The following is a GGA-PBE calculation of a relaxed structure of LiAlSn, from Alexandria via LeMat-Bulk.

Results
energy relative to the elements: 0.4 eV/f.u.

a = 8.055 Å, b = 8.055 Å, c = 8.055 Å
α = 95.79°, β = 95.79°, γ = 142.97°
Positions (direct):
Li (0.000, 0.219, 0.219)
Li (0.000, 0.781, 0.781)
Li (0.219, 0.000, 0.219)
Li (0.781, 0.000, 0.781)
Al (0.375, 0.375, 0.749)
Al (0.375, 0.625, 0.000)
Al (0.625, 0.375, 0.000)
Al (0.625, 0.625, 0.251)
Sn (0.147, 0.500, 0.647)
Sn (0.500, 0.147, 0.647)
Sn (0.500, 0.853, 0.353)
Sn (0.853, 0.500, 0.353)

# 18
The following is a GGA-PBE calculation of a relaxed structure of LiAlSn, from Alexandria via LeMat-Bulk.

Results
energy relative to the elements: -0.3 eV/f.u.

a = 5.227 Å, b = 5.227 Å, c = 5.517 Å
α = 100.77°, β = 100.77°, γ = 120.78°
Positions (direct):
Li (0.000, 0.000, 0.000)
Li (0.672, 0.328, 0.000)
Al (0.474, 0.526, 0.500)
Al (0.805, 0.195, 0.500)
Sn (0.135, 0.865, 0.500)
Sn (0.343, 0.657, 0.000)

# 19
The following is a GGA-PBE calculation of a relaxed structure of LiAlSn, from Alexandria via LeMat-Bulk.

Results
energy relative to the elements: -0.4 eV/f.u.

a = 4.918 Å, b = 3.206 Å, c = 7.973 Å
α = 90.00°, β = 107.85°, γ = 90.00°
Positions (direct):
Li (0.000, 0.000, 0.000)
Li (0.335, 0.000, 0.681)
Al (0.337, 0.500, 0.340)
Al (0.869, 0.000, 0.341)
Sn (0.516, 0.500, 0.030)
Sn (0.821, 0.500, 0.651)

# 20
The following is a GGA-PBE calculation of a relaxed structure of Li4AlSn2, from Alexandria via LeMat-Bulk.

Results
energy relative to the elements: -1.6 eV/f.u.

a = 7.985 Å, b = 7.985 Å, c = 7.985 Å
α = 33.30°, β = 33.30°, γ = 33.30°
Positions (direct):
Li (0.121, 0.121, 0.121)
Li (0.371, 0.371, 0.371)
Li (0.629, 0.629, 0.629)
Li (0.879, 0.879, 0.879)
Al (0.500, 0.500, 0.500)
Sn (0.244, 0.244, 0.244)
Sn (0.756, 0.756, 0.756)

no.,DOS(E_F) (states/eV/atom),total energy (eV per cell)
1,0.433,-16.4
2,1.017,-12.3
3,0.493,-20.8
4,0.069,-64.1
5,0.513,-64.3
6,0.929,-18.3
7,0.298,-13.7
8,0.481,-33.7
9,0.611,-31.1
10,0.343,-12.9
11,1.060,-29.0
12,0.878,-19.3
13,0.377,-19.8
14,0.270,-45.8
15,0.445,-19.9
16,0.412,-37.6
17,0.353,-37.0
18,0.416,-19.9
19,0.302,-20.2
20,0.373,-21.0